(1)
Pr5Hg2Pd2 | PBE-GGA | relaxed

Properties
total magnetic moment: 0.000 μB/atom
calculated formation energy: -4.68 eV per formula unit
calculated volume: 28.928 Å³/atom

a b c (Å): 15.9870 7.4241 8.7744
angles (deg): 90.00 90.00 90.00
With the nearest neighbours (Å) after each atom.
Space group Cmce (No. 64)
Asymmetric unit:
1 Pr 0.0000 0.0000 0.0000  2 Pd 2.95
2 Pr 0.1275 0.1623 0.3207  3 Pd 3.02-3.33, 3 Hg 3.24-3.34
3 Hg 0.2106 0.0000 0.0000  7 Pr 3.24-3.37
4 Pd 0.0000 0.1289 0.6193  1 Pd 2.84, 5 Pr 2.95-3.11


(2)
CrSb2P | PBE-GGA | relaxed

Properties
total magnetic moment: 0.948 μB/atom
calculated volume: 21.534 Å³/atom
raw formation energy: 0.575 eV per atom

a b c (Å): 7.0104 7.0104 7.0104
angles (deg): 90.00 90.00 90.00
With the nearest neighbours (Å) after each atom.
Space group F-43m (No. 216)
Asymmetric unit:
1 Cr 0.0000 0.0000 0.0000  4 Sb 3.04, 4 P 3.04
2 Sb 0.0000 0.0000 0.5000  4 Sb 3.04, 4 P 3.04
3 Sb 0.2500 0.2500 0.2500  4 Cr 3.04, 4 Sb 3.04
4 P 0.2500 0.2500 0.7500  4 Cr 3.04, 4 Sb 3.04


(3)
BePbI4 | PBE-GGA | relaxed

Properties
total magnetic moment: 0.000 μB/atom
calculated volume: 47.652 Å³/atom
raw formation energy: -0.535 eV per atom

a b c (Å): 7.0788 7.0788 11.4116
angles (deg): 90.00 90.00 90.00
With the nearest neighbours (Å) after each atom.
Space group I-4 (No. 82)
Asymmetric unit:
1 Be 0.0000 0.0000 0.0000  4 I 2.43
2 Pb 0.0000 0.5000 0.7500  4 I 3.16
3 I 0.1797 0.2246 0.1162  1 Be 2.43


(4)
GaSi2BBr | PBE-GGA | relaxed

Properties
total magnetic moment: 0.000 μB/atom
calculated volume: 24.190 Å³/atom
raw formation energy: 1.567 eV per atom

a b c (Å): 4.7676 4.7676 5.3211
angles (deg): 90.00 90.00 90.00
With the nearest neighbours (Å) after each atom.
Space group P4/mmm (No. 123)
Asymmetric unit:
1 Ga 0.0000 0.0000 0.0000  4 Si 2.38, 2 Br 2.66
2 Si 0.0000 0.5000 0.0000  2 Ga 2.38
3 B 0.5000 0.5000 0.5000  4 Br 3.37, 8 Si 3.57
4 Br 0.0000 0.0000 0.5000  2 Ga 2.66


(5)
Ba2UN3 | PBE-GGA | relaxed

Properties
total magnetic moment: 0.169 μB/atom
calculated volume: 21.924 Å³/atom
raw formation energy: -0.949 eV per atom

a b c (Å): 6.2113 13.8595 6.1123
angles (deg): 90.00 90.00 90.00
With the nearest neighbours (Å) after each atom.
Space group Cmme (No. 67)
Asymmetric unit:
1 Ba 0.0000 0.0979 0.2405  7 N 2.84-3.12
2 U 0.0000 0.2500 0.7540  4 N 1.99-2.16
3 N 0.0000 0.1065 0.7306  1 U 1.99
4 N 0.2500 0.2500 0.0000  2 U 2.16


(6)
K4HfNp3Te8 | PBE-GGA | relaxed

Properties
total magnetic moment: 0.813 μB/atom
calculated volume: 35.561 Å³/atom
raw formation energy: -0.884 eV per atom

a b c (Å): 8.9129 8.9129 24.8118
angles (deg): 90.00 90.00 120.00
With the nearest neighbours (Å) after each atom.
Space group R-3m (No. 166, hexagonal axes)
Asymmetric unit:
1 K 0.0000 0.0000 0.0000  6 Te 3.64
2 K 0.0000 0.5000 0.0000  6 Te 3.49
3 Hf 0.0000 0.0000 0.5000  6 Te 2.97
4 Np 0.0000 0.5000 0.5000  6 Te 3.12-3.14
5 Te 0.0000 0.0000 0.2381  3 Np 3.12, 3 K 3.49
6 Te 0.0181 0.5090 0.2352  1 Hf 2.97, 2 Np 3.14


(7)
GaPd6Au3 | PBE-GGA | relaxed

Properties
total magnetic moment: 0.000 μB/atom
calculated formation energy: -2.39 eV per formula unit
calculated volume: 16.062 Å³/atom

a b c (Å): 8.6249 4.1060 9.1008
angles (deg): 90.00 94.63 90.00
With the nearest neighbours (Å) after each atom.
Space group P2_1/m (No. 11)
Asymmetric unit:
1 Ga 0.0649 0.2500 0.3773  10 Pd 2.55-2.82
2 Pd 0.0449 0.7500 0.8918  1 Ga 2.55, 3 Pd 2.74-2.79, 4 Au 2.79-2.81
3 Pd 0.1201 0.2500 0.6729  3 Ga 2.62-2.69, 3 Pd 2.78-2.82
4 Pd 0.1553 0.7500 0.1891  8 Pd 2.74-2.79, 2 Ga 2.82, 2 Au 2.88
5 Pd 0.2192 0.7500 0.4893  3 Ga 2.61-2.82, 3 Pd 2.74-2.82, 1 Au 2.85
6 Pd 0.3462 0.2500 0.2976  1 Ga 2.59, 2 Pd 2.76, 5 Au 2.78-2.86
7 Pd 0.4516 0.7500 0.0985  5 Pd 2.75-2.93, 7 Au 2.79-2.89
8 Au 0.2465 0.2500 0.9907  10 Pd 2.79-3.01, 2 Au 2.91
9 Au 0.3420 0.7500 0.7894  8 Pd 2.80-2.95, 4 Au 2.89-2.91
10 Au 0.4452 0.2500 0.5961  8 Pd 2.78-3.06, 4 Au 2.89-2.90


(8)
TlRh2N | PBE-GGA | relaxed

Properties
total magnetic moment: 0.000 μB/atom
calculated volume: 18.356 Å³/atom
raw formation energy: 0.324 eV per atom

a b c (Å): 5.5117 5.5117 9.6679
angles (deg): 90.00 90.00 90.00
With the nearest neighbours (Å) after each atom.
Space group I-42d (No. 122)
Asymmetric unit:
1 Tl 0.0000 0.0000 0.0000  4 Rh 2.82
2 Rh 0.1106 0.2500 0.6250  2 N 1.93
3 N 0.0000 0.0000 0.5000  4 Rh 1.93


(9)
CsCaPmI6 | PBE-GGA | relaxed

Properties
total magnetic moment: 0.000 μB/atom
calculated volume: 54.438 Å³/atom
raw formation energy: -1.530 eV per atom

a b c (Å): 8.1238 8.1238 17.1447
angles (deg): 90.00 90.00 120.00
With the nearest neighbours (Å) after each atom.
Space group P-31c (No. 163)
Asymmetric unit:
1 Cs 0.0000 0.0000 0.0000  6 I 3.92
2 Ca 0.3333 0.6667 0.2500  6 I 3.15
3 Pm 0.3333 0.6667 0.7500  6 I 3.12
4 I 0.0030 0.3781 0.6434  1 Pm 3.12, 1 Ca 3.15


(10)
MgFe2Cl | PBE-GGA | relaxed

Properties
total magnetic moment: 1.348 μB/atom
calculated volume: 15.962 Å³/atom
raw formation energy: 0.264 eV per atom

a b c (Å): 3.0265 4.1383 5.0979
angles (deg): 90.00 90.00 90.00
With the nearest neighbours (Å) after each atom.
Space group Pmmm (No. 47)
Asymmetric unit:
1 Mg 0.0000 0.0000 0.0000  4 Cl 2.56
2 Fe 0.0000 0.5000 0.5000  4 Fe 2.56
3 Fe 0.5000 0.0000 0.5000  4 Fe 2.56
4 Cl 0.5000 0.5000 0.0000  4 Mg 2.56


(11)
Y2Cd6Au3 | PBE-GGA | relaxed

Properties
total magnetic moment: 0.000 μB/atom
calculated formation energy: -3.22 eV per formula unit
calculated volume: 23.540 Å³/atom

a b c (Å): 8.2333 8.2333 4.4108
angles (deg): 90.00 90.00 120.00
With the nearest neighbours (Å) after each atom.
Space group P-62m (No. 189)
Asymmetric unit:
1 Y 0.3333 0.6667 0.0000  6 Au 3.33, 3 Cd 3.39
2 Cd 0.0000 0.2064 0.0000  2 Au 2.77, 6 Cd 2.94-2.97
3 Cd 0.0000 0.7339 0.5000  3 Au 2.67-2.97, 4 Cd 2.97
4 Au 0.0000 0.4103 0.5000  5 Cd 2.67-2.97


(12)
Li2TiBiRu | PBE-GGA | relaxed

Properties
total magnetic moment: 0.835 μB/atom
calculated formation energy: 6.41 eV per formula unit
calculated volume: 23.188 Å³/atom

a b c (Å): 4.7123 4.7123 5.2211
angles (deg): 90.00 90.00 90.00
With the nearest neighbours (Å) after each atom.
Space group P4/mmm (No. 123)
Asymmetric unit:
1 Li 0.0000 0.5000 0.0000  2 Ti 2.36
2 Ti 0.0000 0.0000 0.0000  4 Li 2.36, 2 Bi 2.61
3 Bi 0.0000 0.0000 0.5000  2 Ti 2.61
4 Ru 0.5000 0.5000 0.5000  4 Bi 3.33, 8 Li 3.52